# meta-GGA SCAN Be2ReSi, single point on PBEsol structure
# - Formation energy from raw total energies: 0.27 eV/atom
# - Total energy: -22.183 eV per atom
# - Magnetization: 0.0 μB per formula unit
# - DOS(E_F): 0.40 states/eV/atom
data_Be2ReSi
_cell_length_a 3.253
_cell_length_b 3.928
_cell_length_c 7.347
_cell_angle_alpha 90.00
_cell_angle_beta 90.00
_cell_angle_gamma 90.00
_symmetry_space_group_name_H-M 'C m m m'
_symmetry_Int_Tables_number 65
_symmetry_space_group_name_Hall '-C 2 2'
loop_
_atom_site_label
_atom_site_type_symbol
_atom_site_fract_x
_atom_site_fract_y
_atom_site_fract_z
_atom_site_occupancy
Be1 Be 0.000 0.000 0.248 1
Re1 Re 0.000 0.500 0.000 1
Si1 Si 0.000 0.500 0.500 1


# meta-GGA SCAN BeRe3Sn, single point on PBEsol structure
# - Total energy: -49.824 eV per atom
# - Magnetization: 0.0 μB per formula unit
# - DOS(E_F): 0.83 states/eV/atom
data_BeRe3Sn
_cell_length_a 4.196
_cell_length_b 4.196
_cell_length_c 4.196
_cell_angle_alpha 90.00
_cell_angle_beta 90.00
_cell_angle_gamma 90.00
_symmetry_space_group_name_H-M 'P m -3 m'
_symmetry_Int_Tables_number 221
_symmetry_space_group_name_Hall '-P 4 2 3'
loop_
_atom_site_label
_atom_site_type_symbol
_atom_site_fract_x
_atom_site_fract_y
_atom_site_fract_z
_atom_site_occupancy
Be1 Be 0.000 0.000 0.000 1
Re1 Re 0.000 0.000 0.500 1
Sn1 Sn 0.500 0.500 0.500 1


# meta-GGA SCAN TaBeRe2, single point on PBEsol structure
# - Total energy: -53.297 eV per atom
# - Magnetization: 0.0 μB per formula unit
# - DOS(E_F): 0.43 states/eV/atom
# - Offset from the most stable computed form: 0.000 eV per atom
data_TaBeRe2
_cell_length_a 3.289
_cell_length_b 4.138
_cell_length_c 4.148
_cell_angle_alpha 90.00
_cell_angle_beta 90.00
_cell_angle_gamma 90.00
_symmetry_space_group_name_H-M 'P m m m'
_symmetry_Int_Tables_number 47
loop_
_symmetry_equiv_pos_as_xyz
'x,y,z'
'-x,-y,-z'
'-x,-y,z'
'x,y,-z'
'x,-y,-z'
'-x,y,z'
'-x,y,-z'
'x,-y,z'
loop_
_atom_site_label
_atom_site_type_symbol
_atom_site_fract_x
_atom_site_fract_y
_atom_site_fract_z
_atom_site_occupancy
Ta1 Ta 0.000 0.000 0.000 1
Be1 Be 0.500 0.000 0.500 1
Re1 Re 0.000 0.500 0.500 1
Re2 Re 0.500 0.500 0.000 1


# meta-GGA SCAN TaBeRe, single point on PBEsol structure
# - Total energy: -47.192 eV per atom
# - Magnetization: 0.0 μB per formula unit
# - DOS(E_F): 0.48 states/eV/atom
data_TaBeRe
_cell_length_a 3.0682
_cell_length_b 3.0682
_cell_length_c 5.0777
_cell_angle_alpha 90.00
_cell_angle_beta 90.00
_cell_angle_gamma 120.00
_symmetry_space_group_name_H-M 'P 3 m 1'
_symmetry_Int_Tables_number 156
loop_
_symmetry_equiv_pos_as_xyz
'x,y,z'
'-y,x-y,z'
'-x+y,-x,z'
'-y,-x,z'
'-x+y,y,z'
'x,x-y,z'
loop_
_atom_site_label
_atom_site_type_symbol
_atom_site_fract_x
_atom_site_fract_y
_atom_site_fract_z
_atom_site_occupancy
Ta1 Ta 0.0000 0.0000 0.0000 1
Be1 Be 0.3333 0.6667 0.6767 1
Re1 Re 0.6667 0.3333 0.3964 1


# meta-GGA SCAN TaBeRe2, single point on PBEsol structure
# - Total energy: -53.265 eV per atom
# - Magnetization: 0.0 μB per formula unit
# - DOS(E_F): 0.72 states/eV/atom
# - Offset from the most stable computed form: 0.032 eV per atom
data_TaBeRe2
_cell_length_a 6.100
_cell_length_b 6.100
_cell_length_c 6.100
_cell_angle_alpha 90.00
_cell_angle_beta 90.00
_cell_angle_gamma 90.00
_symmetry_space_group_name_H-M 'F -4 3 m'
_symmetry_Int_Tables_number 216
_symmetry_space_group_name_Hall 'F -4 2 3'
loop_
_atom_site_label
_atom_site_type_symbol
_atom_site_fract_x
_atom_site_fract_y
_atom_site_fract_z
_atom_site_occupancy
Ta1 Ta 0.000 0.000 0.000 1
Be1 Be 0.250 0.250 0.250 1
Re1 Re 0.000 0.000 0.500 1
Re2 Re 0.250 0.250 0.750 1


# meta-GGA SCAN Be2ReTc, single point on PBEsol structure
# - Total energy: -28.977 eV per atom
# - Magnetization: 0.0 μB per formula unit
# - DOS(E_F): 0.47 states/eV/atom
# - Offset from the most stable computed form: 0.000 eV per atom
data_Be2ReTc
_cell_length_a 3.170
_cell_length_b 3.074
_cell_length_c 8.695
_cell_angle_alpha 90.00
_cell_angle_beta 90.00
_cell_angle_gamma 90.00
_symmetry_space_group_name_H-M 'A m m 2'
_symmetry_Int_Tables_number 38
loop_
_symmetry_equiv_pos_as_xyz
'x,y,z'
'-x,-y,z'
'-x,y,z'
'x,-y,z'
'x,y+1/2,z+1/2'
'-x,-y+1/2,z+1/2'
'-x,y+1/2,z+1/2'
'x,-y+1/2,z+1/2'
loop_
_atom_site_label
_atom_site_type_symbol
_atom_site_fract_x
_atom_site_fract_y
_atom_site_fract_z
_atom_site_occupancy
Be1 Be 0.000 0.000 0.000 1
Be2 Be 0.500 0.000 0.138 1
Re1 Re 0.000 0.000 0.719 1
Tc1 Tc 0.500 0.000 0.419 1


Copy entry 1 word for word.
# meta-GGA SCAN Be2ReSi, single point on PBEsol structure
# - Formation energy from raw total energies: 0.27 eV/atom
# - Total energy: -22.183 eV per atom
# - Magnetization: 0.0 μB per formula unit
# - DOS(E_F): 0.40 states/eV/atom
data_Be2ReSi
_cell_length_a 3.253
_cell_length_b 3.928
_cell_length_c 7.347
_cell_angle_alpha 90.00
_cell_angle_beta 90.00
_cell_angle_gamma 90.00
_symmetry_space_group_name_H-M 'C m m m'
_symmetry_Int_Tables_number 65
_symmetry_space_group_name_Hall '-C 2 2'
loop_
_atom_site_label
_atom_site_type_symbol
_atom_site_fract_x
_atom_site_fract_y
_atom_site_fract_z
_atom_site_occupancy
Be1 Be 0.000 0.000 0.248 1
Re1 Re 0.000 0.500 0.000 1
Si1 Si 0.000 0.500 0.500 1


total energy of number 2 (BeRe3Sn)?
-49.824 eV per atom


Please write out number 2 again, unchanged.
# meta-GGA SCAN BeRe3Sn, single point on PBEsol structure
# - Total energy: -49.824 eV per atom
# - Magnetization: 0.0 μB per formula unit
# - DOS(E_F): 0.83 states/eV/atom
data_BeRe3Sn
_cell_length_a 4.196
_cell_length_b 4.196
_cell_length_c 4.196
_cell_angle_alpha 90.00
_cell_angle_beta 90.00
_cell_angle_gamma 90.00
_symmetry_space_group_name_H-M 'P m -3 m'
_symmetry_Int_Tables_number 221
_symmetry_space_group_name_Hall '-P 4 2 3'
loop_
_atom_site_label
_atom_site_type_symbol
_atom_site_fract_x
_atom_site_fract_y
_atom_site_fract_z
_atom_site_occupancy
Be1 Be 0.000 0.000 0.000 1
Re1 Re 0.000 0.000 0.500 1
Sn1 Sn 0.500 0.500 0.500 1